VASP calculation (PBE) on a geometry-optimized LiTi3Hg structure.

Values from the calculation:
The magnetization comes out at 0.00 μB per formula unit. The energy of formation from the pure elements comes out at 0.7233 eV per atom. The relative energy among the computed polymorphs is 0 meV per atom.

```
data_LiTi3Hg
_cell_length_a 4.4500
_cell_length_b 4.4500
_cell_length_c 4.4500
_cell_angle_alpha 90.00
_cell_angle_beta 90.00
_cell_angle_gamma 90.00
_symmetry_space_group_name_H-M 'P m -3 m'
_symmetry_Int_Tables_number 221
_symmetry_space_group_name_Hall '-P 4 2 3'
loop_
_atom_site_label
_atom_site_type_symbol
_atom_site_fract_x
_atom_site_fract_y
_atom_site_fract_z
Li1 Li 0.0000 0.0000 0.0000
Ti1 Ti 0.0000 0.0000 0.5000
Hg1 Hg 0.5000 0.5000 0.5000
```